Density functional theory data (PBE+U) for an optimized crystal structure of NiPNO2.

Calculated values
- Fermi-level density of states (states/eV/cell) = 0.72
- M_tot (μB/cell) = 1.97
- uncorrected energy (eV/cell) = -27.3

abc: 3.3194 3.3194 3.8660
angles: 90.00 90.00 90.00
Closest atoms and distances in Å follow each position.
Sites, in units of the cell vectors:
P 0.0000 0.0000 0.0000  4 O 1.66
O 0.5000 0.0000 0.0000  2 P 1.66
O 0.0000 0.5000 0.0000  2 P 1.66
Ni 0.5000 0.5000 0.5000  4 N 2.35, 8 O 2.55
N 0.0000 0.0000 0.5000  2 P 1.93